Computed, not measured: a relaxed structure of Ta2ZnCr at the PBE level of DFT.

Computed properties:
- Fermi-level density of states (states/eV per cell) = 3.0
- formation energy (meV per atom) = 155

Unit cell a=2.779 b=4.054 c=5.693 alpha=90.00 beta=99.65 gamma=90.00
Fractional positions:
Ta 0.076 0.000 0.265
Ta 0.924 0.000 0.735
Zn 0.500 0.500 0.000
Cr 0.500 0.500 0.500

***

Computed, not measured: a relaxed structure of UCd2Pt9 at the PBE level of DFT.

Computed properties:
- Fermi-level density of states (states/eV per cell) = 10.8
- formation energy (meV per atom) = -425

Unit cell a=4.099 b=4.099 c=12.097 alpha=90.00 beta=90.00 gamma=90.00
Fractional positions:
U 0.000 0.000 0.000
Cd 0.000 0.000 0.338
Cd 0.000 0.000 0.662
Pt 0.000 0.500 0.164
Pt 0.000 0.500 0.500
Pt 0.000 0.500 0.836
Pt 0.500 0.000 0.164
Pt 0.500 0.000 0.500
Pt 0.500 0.000 0.836
Pt 0.500 0.500 0.000
Pt 0.500 0.500 0.334
Pt 0.500 0.500 0.666

***

Computed, not measured: a relaxed structure of PrHoGaPd at the PBE level of DFT.

Computed properties:
- Fermi-level density of states (states/eV per cell) = 4.0
- formation energy (meV per atom) = -685
- E above lowest polymorph (eV per formula unit) = 0.00

Unit cell a=4.451 b=6.001 c=6.001 alpha=37.46 beta=90.00 gamma=90.00
Fractional positions:
Pr 0.000 0.000 0.000
Ho 0.500 0.714 0.714
Ga 0.500 0.422 0.422
Pd 0.000 0.275 0.275

***

Computed, not measured: a relaxed structure of DyNb5 at the PBE level of DFT.

Computed properties:
- Fermi-level density of states (states/eV per cell) = 8.8
- formation energy (meV per atom) = 195

Unit cell a=7.555 b=7.555 c=3.349 alpha=90.00 beta=90.00 gamma=141.65
Fractional positions:
Dy 0.000 0.000 0.000
Nb 0.182 0.818 0.500
Nb 0.334 0.666 0.000
Nb 0.500 0.500 0.500
Nb 0.666 0.334 0.000
Nb 0.818 0.182 0.500

***

Computed, not measured: a relaxed structure of TlZn2Os at the PBE level of DFT.

Computed properties:
- Fermi-level density of states (states/eV per cell) = 2.6
- formation energy (meV per atom) = 453
- E above lowest polymorph (eV per formula unit) = 0.33

Unit cell a=2.864 b=4.224 c=6.482 alpha=90.00 beta=102.49 gamma=90.00
Fractional positions:
Tl 0.000 0.000 0.000
Zn 0.163 0.500 0.317
Zn 0.295 0.000 0.586
Os 0.833 0.500 0.661

***

Computed, not measured: a relaxed structure of La2ScW at the PBE level of DFT.

Computed properties:
- Fermi-level density of states (states/eV per cell) = 5.2
- formation energy (meV per atom) = 472
- E above lowest polymorph (eV per formula unit) = 0.40

Unit cell a=3.188 b=4.603 c=7.010 alpha=90.00 beta=90.00 gamma=90.00
Fractional positions:
La 0.000 0.000 0.000
La 0.500 0.500 0.302
Sc 0.000 0.000 0.576
W 0.500 0.500 0.738

***

Computed, not measured: a relaxed structure of NaRhI2N at the PBE level of DFT.

Computed properties:
- Fermi-level density of states (states/eV per cell) = 2.3
- energy relative to the elements, uncorrected (meV/atom) = -90
- E above lowest polymorph (eV per formula unit) = 0.00

Unit cell a=5.778 b=5.778 c=3.745 alpha=90.00 beta=90.00 gamma=90.00
Fractional positions:
Na 0.000 0.000 0.000
Rh 0.500 0.500 0.500
I 0.000 0.500 0.500
I 0.500 0.000 0.500
N 0.500 0.500 0.000

***

Computed, not measured: a relaxed structure of CaAu2Se at the PBE level of DFT.

Computed properties:
- Fermi-level density of states (states/eV per cell) = 1.1
- energy relative to the elements, uncorrected (meV/atom) = -730

Unit cell a=5.980 b=5.980 c=4.056 alpha=90.94 beta=90.94 gamma=38.73
Fractional positions:
Ca 0.000 0.000 0.000
Au 0.270 0.270 0.245
Au 0.730 0.730 0.755
Se 0.500 0.500 0.500

***

Computed, not measured: a relaxed structure of PmAu6 at the PBE level of DFT.

Computed properties:
- Fermi-level density of states (states/eV per cell) = 6.5
- formation energy (meV per atom) = 391
- E above lowest polymorph (eV per formula unit) = 5.35

Unit cell a=6.402 b=6.402 c=6.402 alpha=109.47 beta=109.47 gamma=109.47
Fractional positions:
Pm 0.000 0.000 0.000
Au 0.250 0.500 0.750
Au 0.250 0.750 0.500
Au 0.500 0.250 0.750
Au 0.500 0.750 0.250
Au 0.750 0.250 0.500
Au 0.750 0.500 0.250

***

Computed, not measured: a relaxed structure of GdCdRhPb at the PBE level of DFT.

Computed properties:
- Fermi-level density of states (states/eV per cell) = 2.7
- formation energy (meV per atom) = -280

Unit cell a=5.019 b=5.019 c=5.019 alpha=60.00 beta=60.00 gamma=60.00
Fractional positions:
Gd 0.000 0.000 0.000
Cd 0.250 0.250 0.250
Rh 0.750 0.750 0.750
Pb 0.500 0.500 0.500

***

Computed, not measured: a relaxed structure of AcAgAu6 at the PBE level of DFT.

Computed properties:
- Fermi-level density of states (states/eV per cell) = 3.8
- formation energy (meV per atom) = -215

Unit cell a=5.569 b=5.569 c=5.569 alpha=90.00 beta=90.00 gamma=90.00
Fractional positions:
Ac 0.000 0.000 0.000
Ag 0.500 0.500 0.500
Au 0.000 0.500 0.257
Au 0.000 0.500 0.743
Au 0.257 0.000 0.500
Au 0.500 0.257 0.000
Au 0.500 0.743 0.000
Au 0.743 0.000 0.500

***

Computed, not measured: a relaxed structure of CeInSnN at the PBE level of DFT.

Computed properties:
- Fermi-level density of states (states/eV per cell) = 3.3
- energy relative to the elements, uncorrected (meV/atom) = -522

Unit cell a=8.189 b=8.189 c=8.189 alpha=155.89 beta=155.89 gamma=34.36
Fractional positions:
Ce 0.000 0.000 0.000
In 0.331 0.331 0.000
Sn 0.661 0.661 0.000
N 0.505 0.505 0.000